(1)
# TbNdOsAu | Alexandria via LeMat-Bulk | PBE | optimized geometry
# density of states at the Fermi level: 0.825 states/eV/atom
# calculated total energy: -101.43 eV/cell
data_TbNdOsAu
_cell_length_a 7.126
_cell_length_b 7.126
_cell_length_c 7.126
_cell_angle_alpha 90.00
_cell_angle_beta 90.00
_cell_angle_gamma 90.00
_symmetry_space_group_name_H-M 'F -4 3 m'
_symmetry_Int_Tables_number 216
_symmetry_space_group_name_Hall 'F -4 2 3'
loop_
_atom_site_label
_atom_site_type_symbol
_atom_site_fract_x
_atom_site_fract_y
_atom_site_fract_z
Tb1 Tb 0.000 0.000 0.000
Nd1 Nd 0.000 0.000 0.500
Os1 Os 0.250 0.250 0.750
Au1 Au 0.250 0.250 0.250



(2)
# HfBe2CuW | Alexandria via LeMat-Bulk | PBE | optimized geometry
# density of states at the Fermi level: 1.043 states/eV/atom
# calculated total energy: -23.94 eV/cell
data_HfBe2CuW
_cell_length_a 4.329
_cell_length_b 4.329
_cell_length_c 4.490
_cell_angle_alpha 90.00
_cell_angle_beta 90.00
_cell_angle_gamma 90.00
_symmetry_space_group_name_H-M 'P 4/m m m'
_symmetry_Int_Tables_number 123
_symmetry_space_group_name_Hall '-P 4 2'
loop_
_atom_site_label
_atom_site_type_symbol
_atom_site_fract_x
_atom_site_fract_y
_atom_site_fract_z
Hf1 Hf 0.000 0.000 0.000
Be1 Be 0.000 0.500 0.000
Cu1 Cu 0.000 0.000 0.500
W1 W 0.500 0.500 0.500